[1]
DFT (PBE-GGA) results for crystalline Na4PmY3S8 at its relaxed geometry.

abc: 8.137 8.137 8.137
angles: 59.17 59.17 59.17
Atoms (fractional coordinates):
Na 0.000 0.000 0.000
Na 0.000 0.500 0.500
Na 0.500 0.000 0.500
Na 0.500 0.500 0.000
Pm 0.500 0.500 0.500
Y 0.000 0.000 0.500
Y 0.000 0.500 0.000
Y 0.500 0.000 0.000
S 0.237 0.746 0.746
S 0.242 0.242 0.242
S 0.254 0.254 0.763
S 0.254 0.763 0.254
S 0.746 0.237 0.746
S 0.746 0.746 0.237
S 0.758 0.758 0.758
S 0.763 0.254 0.254

Results
Its formation energy without anion corrections is -29.43 eV per formula unit. As for the density: 3.4 g cm⁻³. The magnetic moment is 0.00 μB/atom. As for the symmetry: R-3m (166).

***

[2]
DFT (PBE-GGA) results for crystalline Na2PmYS4 at its relaxed geometry.

abc: 7.005 4.044 7.089
angles: 90.00 109.22 90.00
Atoms (fractional coordinates):
Na 0.000 0.000 0.000
Na 0.500 0.500 0.000
Pm 0.000 0.500 0.500
Y 0.500 0.000 0.500
S 0.249 0.000 0.731
S 0.263 0.500 0.272
S 0.737 0.500 0.728
S 0.751 0.000 0.269

Results
Its formation energy without anion corrections is -14.62 eV per formula unit. As for the density: 3.6 g cm⁻³. The magnetic moment is 0.00 μB/atom. As for the symmetry: P2/m (10).

***

Repeat the first record exactly.
DFT (PBE-GGA) results for crystalline Na4PmY3S8 at its relaxed geometry.

abc: 8.137 8.137 8.137
angles: 59.17 59.17 59.17
Atoms (fractional coordinates):
Na 0.000 0.000 0.000
Na 0.000 0.500 0.500
Na 0.500 0.000 0.500
Na 0.500 0.500 0.000
Pm 0.500 0.500 0.500
Y 0.000 0.000 0.500
Y 0.000 0.500 0.000
Y 0.500 0.000 0.000
S 0.237 0.746 0.746
S 0.242 0.242 0.242
S 0.254 0.254 0.763
S 0.254 0.763 0.254
S 0.746 0.237 0.746
S 0.746 0.746 0.237
S 0.758 0.758 0.758
S 0.763 0.254 0.254

Results
Its formation energy without anion corrections is -29.43 eV per formula unit. As for the density: 3.4 g cm⁻³. The magnetic moment is 0.00 μB/atom. As for the symmetry: R-3m (166).